(1)
HoMgSi2Pt2, relaxed, DFT PBE; formation energy (no corrections) = -21.95 kcal/mol of atoms; DOS(E_F) = 0.38 states/eV/atom
1.0
4.242 0.000 0.000
-2.121 3.673 0.000
0.000 0.000 6.752
Mg Ho Si Pt
1 1 2 2
direct
0.000 0.000 0.500
0.000 0.000 0.000
0.333 0.667 0.712
0.667 0.333 0.288
0.667 0.333 0.708
0.333 0.667 0.292


(2)
ScTa2, relaxed, DFT PBE; excess energy over the best structure of this formula in the dataset = 78.6 meV per atom; calculated formation energy = 0.235 eV per atom; DOS(E_F) = 1.42 states/eV/atom
1.0
5.198 0.003 0.001
2.295 4.664 -0.001
-3.061 -3.434 2.420
Sc Ta
1 2
direct
0.000 0.000 0.000
0.669 0.669 0.000
0.331 0.331 0.000


(3)
YBeAu2, relaxed, DFT PBE; calculated formation energy = -0.444 eV per atom; DOS(E_F) = 0.55 states/eV/atom
1.0
4.525 0.000 0.000
0.000 3.709 -0.442
0.000 0.580 4.814
Au Y Be
2 1 1
direct
0.500 0.251 0.305
0.000 0.249 0.952
0.500 0.750 0.782
0.000 0.250 0.461


(4)
LiSmGa2, relaxed, DFT PBE; excess energy over the best structure of this formula in the dataset = 35.2 meV per atom; calculated formation energy = -0.452 eV per atom; DOS(E_F) = 0.37 states/eV/atom
1.0
4.891 0.000 0.000
2.446 4.236 0.000
2.446 1.412 3.993
Sm Li Ga
1 1 2
direct
0.000 0.000 0.000
0.500 0.500 0.500
0.250 0.250 0.250
0.750 0.750 0.750


(5)
Li2SnPdAu5, relaxed, DFT PBE; calculated formation energy = -0.189 eV per atom; DOS(E_F) = 0.27 states/eV/atom
1.0
5.936 0.000 0.000
0.000 5.936 0.000
-2.968 -2.968 8.721
Li Au Pd Sn
4 10 2 2
direct
0.123 0.377 0.000
0.377 0.877 0.000
0.623 0.123 0.000
0.877 0.623 0.000
0.567 0.698 0.765
0.000 0.000 0.000
0.433 0.302 0.235
0.302 0.802 0.235
0.500 0.500 0.000
0.802 0.933 0.235
0.198 0.067 0.765
0.933 0.433 0.235
0.067 0.567 0.765
0.698 0.198 0.765
0.750 0.250 0.500
0.250 0.750 0.500
0.750 0.750 0.500
0.250 0.250 0.500


(6)
NaTi2Ru, relaxed, DFT PBE; excess energy over the best structure of this formula in the dataset = 602.0 meV per atom; calculated formation energy = 0.797 eV per atom; DOS(E_F) = 1.23 states/eV/atom
1.0
-0.161 -1.078 3.792
-1.629 -3.438 -1.046
7.448 -5.996 0.666
Ti Ru Na
4 2 2
direct
0.651 0.125 0.250
0.875 0.901 0.750
0.375 0.349 0.750
0.099 0.625 0.250
0.750 0.250 0.500
0.000 0.000 0.000
0.500 0.500 0.000
0.250 0.750 0.500


(7)
CePr2Rh, relaxed, DFT PBE; excess energy over the best structure of this formula in the dataset = 223.9 meV per atom; calculated formation energy = -0.160 eV per atom; DOS(E_F) = 2.11 states/eV/atom
1.0
3.926 0.000 0.000
1.963 3.400 0.000
1.963 1.133 9.586
Ce Pr Rh
1 2 1
direct
0.501 0.501 0.498
0.060 0.060 0.821
0.273 0.273 0.180
0.666 0.666 0.001


(8)
BaBe2Cd, relaxed, DFT PBE; calculated formation energy = 0.554 eV per atom; DOS(E_F) = 0.68 states/eV/atom
1.0
-3.004 -0.754 -1.549
0.446 -3.348 0.765
-3.489 0.973 6.294
Be Ba Cd
2 1 1
direct
0.000 0.000 0.093
0.000 0.000 0.407
0.500 0.500 0.750
0.500 0.500 0.250


(9)
Rb2Cd5Pt4, relaxed, DFT PBE; calculated formation energy = -0.165 eV per atom; DOS(E_F) = 0.24 states/eV/atom
1.0
-4.558 -3.648 -2.546
2.267 -4.366 -5.770
0.645 -7.890 2.182
Pt Rb Cd
4 2 5
direct
0.595 0.974 0.837
0.405 0.026 0.163
0.210 0.387 0.193
0.790 0.613 0.807
0.263 0.841 0.633
0.737 0.159 0.367
0.837 0.708 0.109
0.000 0.500 0.500
0.654 0.292 0.891
0.163 0.292 0.891
0.346 0.708 0.109


(10)
CuBiIrO6, relaxed, DFT PBE; formation energy (no corrections) = -16.12 kcal/mol of atoms; DOS(E_F) = 0.74 states/eV/atom
1.0
4.754 0.000 0.000
0.000 4.754 0.000
0.000 0.000 9.807
O Cu Ir Bi
12 2 2 2
direct
0.214 0.786 0.841
0.824 0.176 0.173
0.303 0.303 0.984
0.786 0.214 0.841
0.714 0.714 0.341
0.176 0.824 0.173
0.286 0.286 0.341
0.697 0.697 0.984
0.197 0.803 0.484
0.676 0.676 0.673
0.803 0.197 0.484
0.324 0.324 0.673
0.500 0.500 0.499
0.000 0.000 0.999
0.000 0.000 0.337
0.500 0.500 0.837
0.000 0.000 0.667
0.500 0.500 0.167


(11)
Pm5Nd3Ho, relaxed, DFT PBE; calculated formation energy = 0.482 eV per atom; DOS(E_F) = 1.54 states/eV/atom
1.0
9.555 -0.128 1.657
2.492 9.225 1.657
5.776 4.361 9.418
Nd Pm Ho
6 10 2
direct
0.000 0.000 0.000
0.664 0.664 0.350
0.000 0.000 0.500
0.312 0.312 0.183
0.336 0.336 0.650
0.688 0.688 0.817
0.161 0.666 0.739
0.747 0.253 0.000
0.839 0.334 0.261
0.334 0.839 0.261
0.666 0.161 0.739
0.497 0.497 0.229
0.822 0.822 0.952
0.503 0.503 0.771
0.178 0.178 0.048
0.253 0.747 0.000
0.842 0.842 0.405
0.158 0.158 0.595


(12)
CoAsOsBr2, relaxed, DFT PBE; formation energy (no corrections) = 25.85 kcal/mol of atoms; excess energy over the best structure of this formula in the dataset = 0.0 meV per atom; DOS(E_F) = 1.88 states/eV/atom
1.0
-1.150 -1.199 -4.974
-2.304 -4.430 1.601
-4.041 2.243 0.393
As Os Br Co
1 1 2 1
direct
0.000 0.000 0.500
0.000 0.000 0.000
0.000 0.500 0.000
0.500 0.000 0.000
0.500 0.500 0.500